1.
Density functional theory data (PBE with a Hubbard U) for CrCdNF2 after structural relaxation. Values from VASP.

```
&SYSTEM
  ibrav = 0, nat = 5, ntyp = 4
/
ATOMIC_SPECIES
Cr 52.00 Cr.upf
Cd 112.41 Cd.upf
N 14.01 N.upf
F 19.00 F.upf
CELL_PARAMETERS angstrom
3.8836 0.0000 0.0000
0.0000 3.8836 0.0000
0.0000 0.0000 4.2025
ATOMIC_POSITIONS crystal
Cr 0.0000 0.0000 0.0000
Cd 0.5000 0.5000 0.5000
N 0.0000 0.0000 0.5000
F 0.0000 0.5000 0.0000
F 0.5000 0.0000 0.0000
```

Results
* symmetry: P4/mmm (123)
* spin magnetization: 2.95 μB per cell

***

2.
Density functional theory data (PBE with a Hubbard U) for CrCdNF2 after structural relaxation. Values from VASP.

```
&SYSTEM
  ibrav = 0, nat = 5, ntyp = 4
/
ATOMIC_SPECIES
Cr 52.00 Cr.upf
Cd 112.41 Cd.upf
N 14.01 N.upf
F 19.00 F.upf
CELL_PARAMETERS angstrom
4.3636 0.0000 0.0000
0.0000 4.3636 0.0000
0.0000 0.0000 4.3542
ATOMIC_POSITIONS crystal
Cr 0.0000 0.0000 0.0000
Cd 0.5000 0.5000 0.5000
N 0.5000 0.5000 0.0000
F 0.0000 0.5000 0.5000
F 0.5000 0.0000 0.5000
```

Results
* symmetry: P4/mmm (123)
* spin magnetization: 3.10 μB per cell

***

Which of them is the most stable? Correct choice: 1.

***

1.
Density functional theory data (PBE with a Hubbard U) for CrCdOF2 after structural relaxation. Values from VASP.

```
&SYSTEM
  ibrav = 0, nat = 5, ntyp = 4
/
ATOMIC_SPECIES
Cr 52.00 Cr.upf
Cd 112.41 Cd.upf
O 16.00 O.upf
F 19.00 F.upf
CELL_PARAMETERS angstrom
4.2987 0.0000 0.0000
0.0000 4.2987 0.0000
0.0000 0.0000 4.3511
ATOMIC_POSITIONS crystal
Cr 0.0000 0.0000 0.0000
Cd 0.5000 0.5000 0.5000
O 0.5000 0.5000 0.0000
F 0.0000 0.5000 0.5000
F 0.5000 0.0000 0.5000
```

Results
* symmetry: P4/mmm (123)
* spin magnetization: 4.07 μB per cell

***

2.
Density functional theory data (PBE with a Hubbard U) for CrCdOF2 after structural relaxation. Values from VASP.

```
&SYSTEM
  ibrav = 0, nat = 5, ntyp = 4
/
ATOMIC_SPECIES
Cr 52.00 Cr.upf
Cd 112.41 Cd.upf
O 16.00 O.upf
F 19.00 F.upf
CELL_PARAMETERS angstrom
4.0381 0.0000 0.0000
0.0000 4.0381 0.0000
0.0000 0.0000 4.0308
ATOMIC_POSITIONS crystal
Cr 0.0000 0.0000 0.0000
Cd 0.5000 0.5000 0.5000
O 0.0000 0.0000 0.5000
F 0.0000 0.5000 0.0000
F 0.5000 0.0000 0.0000
```

Results
* symmetry: P4/mmm (123)
* spin magnetization: 3.40 μB per cell

***

Which of them is the most stable? Correct choice: 2.